! Sm2NpS5 (PBE, relaxed); values from VASP
&SYSTEM
  ibrav = 0, nat = 32, ntyp = 3
/
ATOMIC_SPECIES
Np 237.00 Np.upf
Sm 150.36 Sm.upf
S 32.06 S.upf
ATOMIC_POSITIONS angstrom
Np -10.806 -4.142 9.480
Sm -7.429 -1.648 8.719
S -8.329 0.670 7.212
S -6.830 2.878 4.840
S -5.626 -0.246 5.397
S -4.456 1.152 0.473
S -10.672 -5.572 6.953
S -7.130 0.250 2.206
Sm -7.946 -4.812 6.142
S -5.182 -5.597 9.797
Sm -8.330 2.934 2.322
S -7.043 -3.026 4.048
S -9.578 -5.108 3.588
Np -1.863 0.869 -0.035
S -4.341 -3.942 2.234
Np -8.137 -0.650 4.629
Sm -5.241 -1.624 0.726
S -7.487 2.324 -0.351
S -1.998 2.299 2.492
S -5.839 -6.151 4.605
S -3.370 -0.973 2.887
Sm -1.634 -3.019 1.707
S -9.299 -2.300 6.558
S -5.540 -3.523 7.240
Np -4.532 -2.622 4.816
S -10.075 -1.854 3.224
Sm -11.036 -0.254 7.739
Sm -4.723 1.539 3.303
Sm -4.339 -6.206 7.123
S -2.594 -1.418 6.221
S -3.092 1.835 5.857
S -8.214 -4.425 8.972
CELL_PARAMETERS angstrom
-0.419 3.533 6.565
-7.222 2.792 -1.964
-5.028 -9.598 4.844
! Volume in Å³ per atom: 22.12
! Space group: Pnma
! M_tot in Bohr magnetons per cell: 12.000
! E in eV/atom: -7.159
! Formation energy from raw total energies in eV/atom: -1.782